1.
Here is crystalline BeSiIr2 at its relaxed geometry from Alexandria. Energies are from GGA-PBEsol.

```
data_BeSiIr2
_cell_length_a 7.676
_cell_length_b 2.776
_cell_length_c 4.758
_cell_angle_alpha 90.00
_cell_angle_beta 101.44
_cell_angle_gamma 90.00
_space_group_name_H-M_alt 'C 1 2/m 1'
_space_group_IT_number 12
loop_
_space_group_symop_operation_xyz
'x,y,z'
'-x,-y,-z'
'-x,y,-z'
'x,-y,z'
'x+1/2,y+1/2,z'
'-x+1/2,-y+1/2,-z'
'-x+1/2,y+1/2,-z'
'x+1/2,-y+1/2,z'
loop_
_atom_site_label
_atom_site_fract_x
_atom_site_fract_y
_atom_site_fract_z
_atom_site_occupancy
Be1 0.000 0.000 0.000 1
Si1 0.000 0.500 0.500 1
Ir1 0.250 0.000 0.755 1
```

## Properties
The polymorph energy (0 for the lowest one) is 1.17 eV per formula unit. For the uncorrected formation energy, the calculation gives -0.40 eV/atom.


2.
Here is crystalline BeSn3Ir at its relaxed geometry from Alexandria. Energies are from GGA-PBEsol.

```
data_BeSn3Ir
_cell_length_a 4.666
_cell_length_b 4.666
_cell_length_c 4.666
_cell_angle_alpha 90.00
_cell_angle_beta 90.00
_cell_angle_gamma 90.00
_space_group_name_H-M_alt 'P m -3 m'
_space_group_IT_number 221
_space_group_name_Hall '-P 4 2 3'
loop_
_atom_site_label
_atom_site_fract_x
_atom_site_fract_y
_atom_site_fract_z
_atom_site_occupancy
Be1 0.000 0.000 0.000 1
Sn1 0.000 0.000 0.500 1
Ir1 0.500 0.500 0.500 1
```

## Properties
The formation energy from the elements is 0.781 eV per atom.


3.
Here is crystalline BeSnIr3 at its relaxed geometry from Alexandria. Energies are from GGA-PBEsol.

```
data_BeSnIr3
_cell_length_a 4.764
_cell_length_b 4.764
_cell_length_c 4.764
_cell_angle_alpha 90.00
_cell_angle_beta 90.00
_cell_angle_gamma 90.00
_space_group_name_H-M_alt 'P m -3 m'
_space_group_IT_number 221
_space_group_name_Hall '-P 4 2 3'
loop_
_atom_site_label
_atom_site_fract_x
_atom_site_fract_y
_atom_site_fract_z
_atom_site_occupancy
Be1 0.000 0.000 0.000 1
Sn1 0.500 0.500 0.500 1
Ir1 0.000 0.500 0.500 1
```

## Properties
The formation energy from the elements is 2.249 eV per atom.


4.
Here is crystalline Sr2BeIr at its relaxed geometry from Alexandria. Energies are from GGA-PBEsol.

```
data_Sr2BeIr
_cell_length_a 3.934
_cell_length_b 4.344
_cell_length_c 13.574
_cell_angle_alpha 90.00
_cell_angle_beta 90.00
_cell_angle_gamma 90.00
_space_group_name_H-M_alt 'I m m 2'
_space_group_IT_number 44
loop_
_space_group_symop_operation_xyz
'x,y,z'
'-x,-y,z'
'-x,y,z'
'x,-y,z'
'x+1/2,y+1/2,z+1/2'
'-x+1/2,-y+1/2,z+1/2'
'-x+1/2,y+1/2,z+1/2'
'x+1/2,-y+1/2,z+1/2'
loop_
_atom_site_label
_atom_site_fract_x
_atom_site_fract_y
_atom_site_fract_z
_atom_site_occupancy
Sr1 0.000 0.000 0.000 1
Sr2 0.000 0.500 0.255 1
Be1 0.000 0.500 0.840 1
Ir1 0.000 0.000 0.406 1
```

## Properties
The formation energy from the elements is -0.047 eV per atom.


5.
Here is crystalline Sr2BeIr at its relaxed geometry from Alexandria. Energies are from GGA-PBEsol.

```
data_Sr2BeIr
_cell_length_a 6.940
_cell_length_b 4.007
_cell_length_c 8.395
_cell_angle_alpha 90.00
_cell_angle_beta 105.58
_cell_angle_gamma 90.00
_space_group_name_H-M_alt 'C 1 m 1'
_space_group_IT_number 8
loop_
_space_group_symop_operation_xyz
'x,y,z'
'x,-y,z'
'x+1/2,y+1/2,z'
'x+1/2,-y+1/2,z'
loop_
_atom_site_label
_atom_site_fract_x
_atom_site_fract_y
_atom_site_fract_z
_atom_site_occupancy
Sr1 0.000 0.000 0.000 1
Sr2 0.164 0.000 0.505 1
Be1 0.415 0.000 0.253 1
Ir1 0.249 0.500 0.253 1
```

## Properties
The formation energy from the elements is -0.249 eV per atom.


6.
Here is crystalline SrBe2Ir at its relaxed geometry from Alexandria. Energies are from GGA-PBEsol.

```
data_SrBe2Ir
_cell_length_a 6.825
_cell_length_b 3.930
_cell_length_c 5.680
_cell_angle_alpha 90.00
_cell_angle_beta 113.40
_cell_angle_gamma 90.00
_space_group_name_H-M_alt 'C 1 2/m 1'
_space_group_IT_number 12
loop_
_space_group_symop_operation_xyz
'x,y,z'
'-x,-y,-z'
'-x,y,-z'
'x,-y,z'
'x+1/2,y+1/2,z'
'-x+1/2,-y+1/2,-z'
'-x+1/2,y+1/2,-z'
'x+1/2,-y+1/2,z'
loop_
_atom_site_label
_atom_site_fract_x
_atom_site_fract_y
_atom_site_fract_z
_atom_site_occupancy
Sr1 0.000 0.000 0.000 1
Be1 0.184 0.000 0.552 1
Ir1 0.000 0.500 0.500 1
```

## Properties
The polymorph energy (0 for the lowest one) is 0.00 eV per formula unit. The formation energy from the elements is -0.275 eV per atom.


no.,raw total energy (eV per atom),calculated density (Mg/m³),volume (Å³ per cell)
1,-7.75,14.1,99.4
2,-4.54,9.1,101.6
3,-5.30,10.8,108.1
4,-4.42,5.4,232.0
5,-4.62,5.6,224.9
6,-5.19,7.1,139.8